[1]
PBE-GGA Ho2CdFe, optimized geometry; calculated volume = 87.9 Å³ per cell; offset from the most stable computed form = 0.000 eV per atom; density of states at the Fermi level = 0.857 states/eV/atom
1.0
-3.188 1.068 -0.090
-0.830 -2.640 -1.912
-1.565 -4.131 6.385
Fe Cd Ho
1 1 2
direct
0.500 0.500 0.000
0.500 0.500 0.500
0.000 0.000 0.207
0.000 0.000 0.793

[2]
PBE-GGA Dy2Mg2Co15, optimized geometry; calculated volume = 250.2 Å³ per cell; density of states at the Fermi level = 1.146 states/eV/atom
1.0
-6.193 -0.476 1.281
0.197 -5.840 2.466
0.360 1.772 6.079
Co Dy Mg
15 2 2
direct
0.353 0.843 0.353
0.708 0.292 0.000
0.292 0.708 0.000
0.500 0.000 0.000
0.353 0.353 0.843
0.000 0.500 0.000
0.647 0.157 0.647
0.647 0.647 0.157
0.157 0.647 0.647
0.000 0.708 0.292
0.000 0.292 0.708
0.000 0.000 0.500
0.843 0.353 0.353
0.708 0.000 0.292
0.292 0.000 0.708
0.353 0.353 0.353
0.647 0.647 0.647
0.894 0.894 0.894
0.106 0.106 0.106

[3]
PBE-GGA KTcNi, optimized geometry; calculated volume = 68.2 Å³ per cell; offset from the most stable computed form = 1.239 eV per atom; density of states at the Fermi level = 0.611 states/eV/atom
1.0
0.000 3.242 3.242
3.242 0.000 3.242
3.242 3.242 0.000
Ni Tc K
1 1 1
direct
0.500 0.500 0.500
0.750 0.750 0.750
0.250 0.250 0.250

[4]
PBE-GGA Tl2Co3Se6, optimized geometry; calculated volume = 248.0 Å³ per cell; formation energy from raw total energies = -287 meV per atom; density of states at the Fermi level = 0.403 states/eV/atom
1.0
5.992 0.000 1.797
2.996 5.437 0.898
-0.071 0.000 7.589
Tl Co Se
2 3 6
direct
0.166 0.669 0.500
0.834 0.331 0.500
0.670 0.660 0.000
0.330 0.340 0.000
0.000 0.000 0.000
0.055 0.333 0.837
0.612 0.333 0.163
0.722 0.000 0.836
0.388 0.667 0.837
0.278 0.000 0.164
0.945 0.667 0.163

[5]
PBE-GGA Th4TlFe, optimized geometry; calculated volume = 342.9 Å³ per cell; offset from the most stable computed form = 0.000 eV per atom; density of states at the Fermi level = 1.246 states/eV/atom
1.0
-5.300 -2.649 -0.901
2.542 -3.217 -5.496
3.825 -5.650 5.077
Th Fe Tl
8 2 2
direct
0.373 0.012 0.782
0.105 0.750 0.052
0.177 0.250 0.354
0.373 0.488 0.782
0.895 0.250 0.948
0.627 0.512 0.218
0.627 0.988 0.218
0.823 0.750 0.646
0.665 0.750 0.938
0.335 0.250 0.062
0.757 0.250 0.563
0.243 0.750 0.437

[6]
PBE-GGA RbSb2MoI, optimized geometry; calculated volume = 214.2 Å³ per cell; offset from the most stable computed form = 2.241 eV per atom; formation energy from raw total energies = 2229 meV per atom; density of states at the Fermi level = 2.900 states/eV/atom
1.0
-5.745 1.243 -0.561
-1.352 -5.505 1.653
-0.183 1.807 5.870
Sb I Rb Mo
2 1 1 1
direct
0.000 0.500 0.000
0.500 0.000 0.000
0.000 0.000 0.500
0.000 0.000 0.000
0.500 0.500 0.500

[7]
PBE-GGA TaHg2Pb, optimized geometry; calculated volume = 92.4 Å³ per cell; density of states at the Fermi level = 0.698 states/eV/atom
1.0
6.399 -0.020 0.070
5.631 3.041 0.070
2.132 0.536 4.743
Hg Pb Ta
2 1 1
direct
0.974 0.974 0.026
0.526 0.526 0.474
0.750 0.750 0.750
0.250 0.250 0.250

[8]
PBE-GGA Tb4HoPt2, optimized geometry; calculated volume = 371.4 Å³ per cell; density of states at the Fermi level = 1.088 states/eV/atom
1.0
6.387 0.000 0.000
0.000 7.155 -3.041
0.000 0.017 8.121
Pt Tb Ho
4 8 2
direct
0.250 0.623 0.589
0.250 0.240 0.992
0.750 0.760 0.008
0.750 0.377 0.411
0.506 0.410 0.770
0.006 0.590 0.230
0.250 0.984 0.614
0.250 0.246 0.345
0.750 0.754 0.655
0.494 0.590 0.230
0.750 0.016 0.386
0.994 0.410 0.770
0.250 0.847 0.971
0.750 0.153 0.029

[9]
PBE-GGA CoTcN3, optimized geometry; calculated volume = 46.7 Å³ per cell; formation energy from raw total energies = 1407 meV per atom; density of states at the Fermi level = 0.582 states/eV/atom
1.0
-0.523 -1.941 -2.988
1.563 -2.839 1.571
-3.202 -1.068 1.255
Tc N Co
1 3 1
direct
0.500 0.500 0.500
0.500 0.000 0.000
0.000 0.000 0.500
0.000 0.500 0.000
0.000 0.000 0.000

[10]
PBE-GGA Y6P2SeS3, optimized geometry; calculated volume = 268.1 Å³ per cell; formation energy from raw total energies = -1892 meV per atom; density of states at the Fermi level = 0.312 states/eV/atom
1.0
-2.580 3.020 -0.185
-4.028 -3.064 6.161
7.083 3.674 3.944
S Y P Se
3 6 2 1
direct
0.500 0.500 0.000
0.836 0.165 0.673
0.164 0.835 0.327
0.672 0.096 0.344
0.996 0.735 0.991
0.669 0.579 0.339
0.331 0.421 0.661
0.004 0.265 0.009
0.328 0.904 0.656
0.167 0.333 0.333
0.833 0.667 0.667
0.500 0.000 0.000

[11]
PBE-GGA Ce3NdC, optimized geometry; calculated volume = 127.9 Å³ per cell; density of states at the Fermi level = 1.982 states/eV/atom
1.0
5.039 0.000 0.000
0.000 5.039 0.000
0.000 0.000 5.039
Ce C Nd
3 1 1
direct
0.000 0.500 0.000
0.500 0.000 0.000
0.000 0.000 0.500
0.000 0.000 0.000
0.500 0.500 0.500

[12]
PBE-GGA PaCoH2, optimized geometry; calculated volume = 84.8 Å³ per cell; offset from the most stable computed form = 0.000 eV per atom; density of states at the Fermi level = 0.601 states/eV/atom
1.0
-1.130 3.765 -0.875
-1.599 -1.150 -2.884
-4.290 -0.224 4.572
Co H Pa
2 4 2
direct
0.750 0.074 0.146
0.250 0.926 0.854
0.750 0.738 0.476
0.250 0.262 0.524
0.750 0.556 0.112
0.250 0.444 0.888
0.250 0.640 0.280
0.750 0.360 0.720

[13]
PBE-GGA TbPr4Nd7, optimized geometry; calculated volume = 425.2 Å³ per cell; offset from the most stable computed form = 0.000 eV per atom; density of states at the Fermi level = 1.295 states/eV/atom
1.0
6.610 -1.909 2.773
0.741 5.936 2.316
2.947 -2.419 11.185
Pr Nd Tb
4 7 1
direct
0.422 0.723 0.330
0.832 0.776 0.668
0.578 0.277 0.670
0.168 0.224 0.332
0.331 0.778 0.669
0.081 0.277 0.670
0.248 0.500 0.000
0.752 0.500 0.000
0.919 0.723 0.330
0.500 0.000 0.000
0.669 0.222 0.331
0.000 0.000 0.000

[14]
PBE-GGA NaTaSeN2, optimized geometry; calculated volume = 87.8 Å³ per cell; offset from the most stable computed form = 0.000 eV per atom; formation energy from raw total energies = -164 meV per atom; density of states at the Fermi level = 0.698 states/eV/atom
1.0
-1.584 -3.724 -0.465
2.057 -0.439 -3.488
4.078 -2.068 2.665
Na Se N Ta
1 1 2 1
direct
0.500 0.500 0.500
0.000 0.000 0.500
0.000 0.500 0.000
0.500 0.000 0.000
0.000 0.000 0.000

[15]
PBE-GGA SmZrSc2, optimized geometry; calculated volume = 207.4 Å³ per cell; offset from the most stable computed form = 0.000 eV per atom; density of states at the Fermi level = 1.512 states/eV/atom
1.0
-2.741 0.693 1.714
1.174 -5.172 3.968
3.849 10.743 1.810
Sc Sm Zr
4 2 2
direct
0.605 0.896 0.298
0.605 0.441 0.844
0.605 0.941 0.844
0.605 0.396 0.298
0.105 0.419 0.571
0.105 0.919 0.571
0.105 0.919 0.071
0.105 0.419 0.071

[16]
PBE-GGA Te4Pd2I, optimized geometry; calculated volume = 398.8 Å³ per cell; formation energy from raw total energies = -176 meV per atom; density of states at the Fermi level = 0.572 states/eV/atom
1.0
7.359 0.332 -0.102
-0.200 7.360 0.102
-3.473 -3.944 7.351
Pd I Te
4 2 8
direct
0.625 0.375 0.750
0.625 0.875 0.250
0.125 0.375 0.750
0.625 0.375 0.250
0.000 0.000 0.000
0.250 0.750 0.500
0.437 0.180 0.865
0.934 0.178 0.365
0.428 0.684 0.865
0.819 0.563 0.135
0.431 0.187 0.365
0.316 0.572 0.135
0.813 0.570 0.635
0.822 0.066 0.635

[17]
PBE-GGA CsTl2Sb, optimized geometry; calculated volume = 170.8 Å³ per cell; offset from the most stable computed form = 0.034 eV per atom; formation energy from raw total energies = -194 meV per atom; density of states at the Fermi level = 0.037 states/eV/atom
1.0
-3.567 2.712 2.402
-4.918 -0.826 -0.990
-3.067 -4.599 6.019
Tl Sb Cs
2 1 1
direct
0.058 0.058 0.825
0.277 0.277 0.170
0.672 0.672 0.984
0.493 0.493 0.521

[18]
PBE-GGA MgIO2, optimized geometry; calculated volume = 130.8 Å³ per cell; offset from the most stable computed form = 0.538 eV per atom; formation energy from raw total energies = -780 meV per atom; density of states at the Fermi level = 0.766 states/eV/atom
1.0
5.408 0.000 0.000
0.000 5.408 0.000
2.704 2.704 4.473
O Mg I
4 2 2
direct
0.375 0.454 0.750
0.875 0.796 0.750
0.204 0.625 0.250
0.546 0.125 0.250
0.500 0.500 0.000
0.250 0.750 0.500
0.000 0.000 0.000
0.750 0.250 0.500

[19]
PBE-GGA Ta2As2W, optimized geometry; calculated volume = 166.1 Å³ per cell; density of states at the Fermi level = 0.665 states/eV/atom
1.0
-0.725 -6.892 0.617
-0.078 -0.612 -6.930
3.412 -0.360 -0.007
Ta As W
4 4 2
direct
0.148 0.648 0.500
0.648 0.852 0.500
0.352 0.148 0.500
0.852 0.352 0.500
0.150 0.350 0.000
0.850 0.650 0.000
0.650 0.150 0.000
0.350 0.850 0.000
0.500 0.500 0.000
0.000 0.000 0.000

[20]
PBE-GGA KBa2SrPd, optimized geometry; calculated volume = 258.3 Å³ per cell; offset from the most stable computed form = 0.000 eV per atom; density of states at the Fermi level = 0.670 states/eV/atom
1.0
6.431 0.000 0.000
0.000 6.431 0.000
0.000 0.000 6.244
K Sr Ba Pd
1 1 2 1
direct
0.500 0.500 0.500
0.000 0.000 0.500
0.500 0.000 0.000
0.000 0.500 0.000
0.000 0.000 0.000

[21]
PBE-GGA TaInP2, optimized geometry; calculated volume = 73.8 Å³ per cell; density of states at the Fermi level = 0.490 states/eV/atom
1.0
3.632 0.000 0.000
0.000 3.631 0.000
0.000 0.000 5.600
Ta P In
1 2 1
direct
0.000 0.000 0.392
0.000 0.000 0.932
0.500 0.500 0.354
0.500 0.500 0.822

[22]
PBE-GGA Na3BiAu, optimized geometry; calculated volume = 293.3 Å³ per cell; offset from the most stable computed form = 0.127 eV per atom; density of states at the Fermi level = 0.164 states/eV/atom
1.0
6.977 0.614 -0.941
-1.318 6.879 0.941
-3.754 -3.048 6.219
Na Au Bi
6 2 2
direct
0.740 0.588 0.794
0.191 0.579 0.770
0.809 0.421 0.230
0.260 0.412 0.206
0.206 0.054 0.794
0.794 0.946 0.206
0.720 0.734 0.454
0.280 0.266 0.546
0.709 0.065 0.774
0.291 0.935 0.226

[23]
PBE-GGA CdHg2Pb, optimized geometry; calculated volume = 106.4 Å³ per cell; density of states at the Fermi level = 0.301 states/eV/atom
1.0
-0.375 -0.343 3.253
3.882 -4.505 -0.027
3.097 5.017 -0.781
Hg Cd Pb
2 1 1
direct
0.262 0.260 0.523
0.738 0.740 0.477
0.000 0.500 0.000
0.500 0.000 0.000

[24]
PBE-GGA ScBeAl2, optimized geometry; calculated volume = 66.8 Å³ per cell; density of states at the Fermi level = 0.560 states/eV/atom
1.0
-3.591 0.976 -1.874
-1.547 -1.856 1.998
-0.959 3.507 3.663
Sc Be Al
1 1 2
direct
0.500 0.750 0.750
0.500 0.250 0.250
0.000 0.353 0.485
0.000 0.147 0.015

no.,E_tot (eV per atom)
1,-4.75
2,-6.33
3,-4.08
4,-4.56
5,-6.82
6,-2.09
7,-3.57
8,-5.71
9,-7.08
10,-7.35
11,-6.36
12,-6.18
13,-4.75
14,-6.83
15,-6.45
16,-3.68
17,-2.62
18,-4.05
19,-9.18
20,-2.61
21,-6.38
22,-2.42
23,-1.27
24,-4.49